Compound: Zr3Bi2H
Source: Alexandria via LeMat-Bulk
Functional: PBE
Structure: optimized geometry

Unit cell a=7.4083 b=4.0858 c=16.6329 alpha=90.00 beta=90.00 gamma=90.00
Closest atoms and distances in Å follow each position.
Space group Pnma (No. 62)
Asymmetric unit:
Zr 0.0519 0.2500 0.1315  2 H 2.19
Zr 0.1255 0.2500 0.5600  1 H 2.15
Zr 0.2374 0.7500 0.2692  1 H 2.16
Bi 0.0334 0.7500 0.6856  8 Zr 2.96-3.20, 2 H 3.16
Bi 0.2095 0.2500 0.9504  7 Zr 3.00-3.23, 1 H 3.13
H 0.1550 0.7500 0.1444  4 Zr 2.15-2.19

Computed properties:
Excess energy over the best structure of this formula in the dataset ... 0 meV per atom


Compound: K2NaCd2
Source: Alexandria via LeMat-Bulk
Functional: PBE
Structure: optimized geometry

Unit cell a=8.7826 b=8.7826 c=5.2523 alpha=90.00 beta=90.00 gamma=90.00
Closest atoms and distances in Å follow each position.
Space group P4/mbm (No. 127)
Asymmetric unit:
K 0.1764 0.3236 0.0000  6 Cd 3.64-3.73
Na 0.0000 0.0000 0.5000  4 Cd 3.50
Cd 0.1203 0.6203 0.5000  1 Cd 2.99

Computed properties:
ΔH_f (0 K) ... -37.2 meV/atom
Excess energy over the best structure of this formula in the dataset ... 15 meV per atom


Compound: Er2Be4Pt5
Source: Alexandria via LeMat-Bulk
Functional: PBE
Structure: optimized geometry

Unit cell a=5.4872 b=9.2432 c=13.5630 alpha=90.00 beta=90.00 gamma=90.00
Closest atoms and distances in Å follow each position.
Space group Fmmm (No. 69)
Asymmetric unit:
Er 0.0000 0.0000 0.1298  6 Be 3.12-3.15, 10 Pt 3.14-3.26
Be 0.0000 0.1597 0.3703  5 Pt 2.29-2.38
Pt 0.0000 0.0000 0.5000  4 Be 2.30
Pt 0.2500 0.2500 0.0000  4 Be 2.38
Pt 0.2500 0.2500 0.2500  4 Be 2.29

Computed properties:
ΔH_f (0 K) ... -910.9 meV/atom


no.,calculated density (g cm⁻³),magnetic moment (μB per cell),raw total energy (eV/cell)
1,9.1,0.000,-155.88
2,2.7,0.000,-11.06
3,13.0,0.000,-257.02